Record 1
# Tl2TePtO6 PBE-GGA optimized geometry
# Fermi-level density of states = 20.384 states/eV/cell
# total energy = -4.96 eV/atom
# ΔE_f (raw) = -0.596 eV/atom
data_Tl2TePtO6
_chemical_formula_sum 'Tl12 Te6 Pt6 O36'
_cell_length_a 6.0215
_cell_length_b 6.0215
_cell_length_c 29.4002
_cell_angle_alpha 90.00
_cell_angle_beta 90.00
_cell_angle_gamma 120.00
_symmetry_space_group_name_H-M 'R -3 m'
_symmetry_Int_Tables_number 166
_symmetry_space_group_name_Hall '-R 3 2"'
loop_
_atom_site_label
_atom_site_type_symbol
_atom_site_fract_x
_atom_site_fract_y
_atom_site_fract_z
Tl1 Tl 0.0000 0.0000 0.1202
Tl2 Tl 0.0000 0.0000 0.2825
Te1 Te 0.0000 0.0000 0.0000
Te2 Te 0.0000 0.0000 0.5000
Pt1 Pt 0.0000 0.0000 0.4061
O1 O 0.0326 0.5163 0.7095
O2 O 0.0487 0.5244 0.1212


Record 2
# FeOs2Ru2 PBE-GGA optimized geometry
# Fermi-level density of states = 13.869 states/eV/cell
# total energy = -9.32 eV/atom
# formation enthalpy at 0 K = 576 meV/atom
data_FeOs2Ru2
_chemical_formula_sum 'Fe2 Os4 Ru4'
_cell_length_a 7.351
_cell_length_b 7.351
_cell_length_c 2.736
_cell_angle_alpha 90.00
_cell_angle_beta 90.00
_cell_angle_gamma 90.00
_symmetry_space_group_name_H-M 'P 4/m b m'
_symmetry_Int_Tables_number 127
_symmetry_space_group_name_Hall '-P 4 2ab'
loop_
_atom_site_label
_atom_site_type_symbol
_atom_site_fract_x
_atom_site_fract_y
_atom_site_fract_z
Fe1 Fe 0.000 0.000 0.000
Os1 Os 0.125 0.375 0.000
Ru1 Ru 0.171 0.671 0.500


Record 3
# CsHg6Bi2 PBE-GGA optimized geometry
# Fermi-level density of states = 6.630 states/eV/cell
# total energy = -1.26 eV/atom
# formation enthalpy at 0 K = -98 meV/atom
data_CsHg6Bi2
_chemical_formula_sum 'Cs2 Hg12 Bi4'
_cell_length_a 11.488
_cell_length_b 8.000
_cell_length_c 7.777
_cell_angle_alpha 90.00
_cell_angle_beta 122.33
_cell_angle_gamma 90.00
_symmetry_space_group_name_H-M 'C 1 2/m 1'
_symmetry_Int_Tables_number 12
loop_
_symmetry_equiv_pos_as_xyz
'x,y,z'
'-x,-y,-z'
'-x,y,-z'
'x,-y,z'
'x+1/2,y+1/2,z'
'-x+1/2,-y+1/2,-z'
'-x+1/2,y+1/2,-z'
'x+1/2,-y+1/2,z'
loop_
_atom_site_label
_atom_site_type_symbol
_atom_site_fract_x
_atom_site_fract_y
_atom_site_fract_z
Cs1 Cs 0.000 0.000 0.000
Hg1 Hg 0.144 0.216 0.678
Hg2 Hg 0.190 0.500 0.460
Bi1 Bi 0.110 0.500 0.946


Record 4
# PrCuPt2 PBE-GGA optimized geometry
# Fermi-level density of states = 11.128 states/eV/cell
# total energy = -5.70 eV/atom
# formation enthalpy at 0 K = -461 meV/atom
data_PrCuPt2
_chemical_formula_sum 'Pr4 Cu4 Pt8'
_cell_length_a 5.460
_cell_length_b 5.163
_cell_length_c 12.472
_cell_angle_alpha 90.00
_cell_angle_beta 90.00
_cell_angle_gamma 90.00
_symmetry_space_group_name_H-M 'P m m a'
_symmetry_Int_Tables_number 51
loop_
_symmetry_equiv_pos_as_xyz
'x,y,z'
'-x,-y,-z'
'-x+1/2,-y,z'
'x+1/2,y,-z'
'x+1/2,-y,-z'
'-x+1/2,y,z'
'-x,y,-z'
'x,-y,z'
loop_
_atom_site_label
_atom_site_type_symbol
_atom_site_fract_x
_atom_site_fract_y
_atom_site_fract_z
Pr1 Pr 0.250 0.000 0.098
Pr2 Pr 0.250 0.500 0.399
Cu1 Cu 0.250 0.000 0.835
Cu2 Cu 0.250 0.500 0.830
Pt1 Pt 0.000 0.000 0.500
Pt2 Pt 0.000 0.500 0.000
Pt3 Pt 0.250 0.251 0.656